1.
Compound: SiSbAs4
Source: the Alexandria database
Functional: PBEsol
Structure: optimized geometry

The calculation puts the total energy at -4.565 eV per atom. The theoretical density is 6.231 g cm⁻³. For the density of states at the Fermi level, the calculation gives 0.67 states/eV per atom.

```
data_SiSbAs4
_cell_length_a 7.825
_cell_length_b 7.825
_cell_length_c 7.825
_cell_angle_alpha 90.00
_cell_angle_beta 90.00
_cell_angle_gamma 90.00
_space_group_name_H-M_alt 'F -4 3 m'
_space_group_IT_number 216
_space_group_name_Hall 'F -4 2 3'
loop_
_atom_site_label
_atom_site_type_symbol
_atom_site_fract_x
_atom_site_fract_y
_atom_site_fract_z
Si1 Si 0.000 0.000 0.000
Sb1 Sb 0.250 0.250 0.250
As1 As 0.126 0.126 0.626
```

***

2.
Compound: SnSb3As
Source: the Alexandria database
Functional: PBEsol
Structure: optimized geometry

The calculation puts the total energy at -4.043 eV per atom. The theoretical density is 6.173 g cm⁻³. For the density of states at the Fermi level, the calculation gives 0.93 states/eV per atom.

```
data_SnSb3As
_cell_length_a 5.317
_cell_length_b 5.317
_cell_length_c 5.317
_cell_angle_alpha 90.00
_cell_angle_beta 90.00
_cell_angle_gamma 90.00
_space_group_name_H-M_alt 'P m -3 m'
_space_group_IT_number 221
_space_group_name_Hall '-P 4 2 3'
loop_
_atom_site_label
_atom_site_type_symbol
_atom_site_fract_x
_atom_site_fract_y
_atom_site_fract_z
Sn1 Sn 0.000 0.000 0.000
Sb1 Sb 0.000 0.500 0.500
As1 As 0.500 0.500 0.500
```